Material: TmNpCo10
Method: DFT, GGA-PBE
State: optimized geometry

Values from the calculation:
**E_form**: -0.08 eV per atom
**Space-group type**: Pmmm
**Total moment**: 0.8470 μB/atom

abc: 3.980 4.874 8.344
angles: 90.00 90.00 90.00
Fractional coordinates of all 12 atoms:
Tm 0.000 0.000 0.000
Np 0.000 0.500 0.500
Co 0.000 0.000 0.343
Co 0.000 0.500 0.817
Co 0.000 0.500 0.183
Co 0.000 0.000 0.657
Co 0.500 0.000 0.500
Co 0.500 0.500 0.000
Co 0.500 0.247 0.249
Co 0.500 0.753 0.751
Co 0.500 0.753 0.249
Co 0.500 0.247 0.751

=====

Material: Sc2MnPbAu
Method: DFT, GGA-PBE
State: optimized geometry

Values from the calculation:
**E_form**: 0.72 eV per atom
**Space-group type**: P4/mmm
**Total moment**: 0.5689 μB/atom

abc: 5.412 5.412 4.955
angles: 90.00 90.00 90.00
Fractional coordinates of all 5 atoms:
Pb 0.000 0.000 0.000
Sc 0.000 0.500 0.000
Sc 0.500 0.000 0.000
Mn 0.000 0.000 0.500
Au 0.500 0.500 0.500

=====

Material: CsNpPdSe3
Method: DFT, GGA-PBE
State: optimized geometry

Values from the calculation:
**Space-group type**: P2_1/m
**Uncorrected formation energy**: -1.00 eV per atom
**Total moment**: 0.4458 μB/atom

abc: 4.210 9.515 10.169
angles: 112.42 90.00 90.00
Fractional coordinates of all 12 atoms:
Cs 0.250 0.215 0.254
Cs 0.750 0.785 0.746
Np 0.250 0.683 0.155
Np 0.750 0.317 0.845
Pd 0.250 0.085 0.591
Pd 0.750 0.915 0.409
Se 0.750 0.869 0.136
Se 0.250 0.131 0.864
Se 0.250 0.790 0.449
Se 0.750 0.210 0.551
Se 0.750 0.474 0.148
Se 0.250 0.526 0.852

=====

Material: MgOsW2
Method: DFT, GGA-PBE
State: optimized geometry

Values from the calculation:
**E_form**: 0.86 eV per atom
**Space-group type**: I-42d
**Total moment**: 0.0000 μB/atom

abc: 7.507 7.507 5.929
angles: 50.73 50.73 90.00
Fractional coordinates of all 8 atoms:
Mg 0.500 0.500 0.000
Mg 0.250 0.750 0.500
Os 0.000 0.000 0.000
Os 0.750 0.250 0.500
W 0.677 0.125 0.250
W 0.073 0.625 0.250
W 0.375 0.323 0.750
W 0.875 0.927 0.750

=====

Material: Pm2PrSm6Dy3
Method: DFT, GGA-PBE
State: optimized geometry

Values from the calculation:
**E_form**: 0.02 eV per atom
**Space-group type**: C2/m
**Total moment**: 0.0000 μB/atom

abc: 6.269 6.269 11.987
angles: 95.00 95.00 119.99
Fractional coordinates of all 12 atoms:
Pm 0.333 0.667 0.000
Pm 0.667 0.333 0.000
Pr 0.000 0.000 0.000
Sm 0.915 0.582 0.746
Sm 0.751 0.751 0.254
Sm 0.085 0.418 0.254
Sm 0.582 0.915 0.746
Sm 0.249 0.249 0.746
Sm 0.418 0.085 0.254
Dy 0.167 0.833 0.500
Dy 0.833 0.167 0.500
Dy 0.500 0.500 0.500

=====

Material: Sc6Pd12Au
Method: DFT, GGA-PBE
State: optimized geometry

Values from the calculation:
**E_form**: -0.70 eV per atom
**Space-group type**: R-3
**Total moment**: 0.0000 μB/atom

abc: 6.940 6.940 6.940
angles: 92.18 92.18 92.18
Fractional coordinates of all 19 atoms:
Sc 0.695 0.857 0.252
Sc 0.748 0.305 0.143
Sc 0.143 0.748 0.305
Sc 0.305 0.143 0.748
Sc 0.252 0.695 0.857
Sc 0.857 0.252 0.695
Pd 0.791 0.539 0.464
Pd 0.464 0.791 0.539
Pd 0.539 0.464 0.791
Pd 0.209 0.461 0.536
Pd 0.536 0.209 0.461
Pd 0.461 0.536 0.209
Pd 0.042 0.137 0.370
Pd 0.863 0.630 0.958
Pd 0.630 0.958 0.863
Pd 0.958 0.863 0.630
Pd 0.137 0.370 0.042
Pd 0.370 0.042 0.137
Au 0.000 0.000 0.000

=====

Material: LaY2Si
Method: DFT, GGA-PBE
State: optimized geometry

Values from the calculation:
**Space-group type**: Cmmm
**Uncorrected formation energy**: -0.26 eV per atom
**Total moment**: 0.0000 μB/atom

abc: 3.569 3.569 8.927
angles: 90.00 90.00 89.92
Fractional coordinates of all 4 atoms:
La 0.500 0.500 0.250
Si 0.500 0.500 0.750
Y 0.000 0.000 0.940
Y 0.000 0.000 0.560

=====

Material: Sm2YNi9
Method: DFT, GGA-PBE
State: optimized geometry

Values from the calculation:
**E_form**: -0.36 eV per atom
**Space-group type**: R-3m
**Total moment**: 0.0800 μB/atom

abc: 4.988 4.988 8.704
angles: 73.35 73.35 60.00
Fractional coordinates of all 12 atoms:
Sm 0.862 0.862 0.415
Sm 0.138 0.138 0.585
Y 0.000 0.000 0.000
Ni 0.667 0.667 0.999
Ni 0.333 0.333 0.001
Ni 0.500 0.500 0.500
Ni 0.419 0.419 0.242
Ni 0.919 0.419 0.242
Ni 0.419 0.919 0.242
Ni 0.581 0.581 0.758
Ni 0.581 0.081 0.758
Ni 0.081 0.581 0.758

=====

Material: NpCuRu
Method: DFT, GGA-PBE
State: optimized geometry

Values from the calculation:
**E_form**: 0.47 eV per atom
**Space-group type**: P4/nmm
**Total moment**: 1.0206 μB/atom

abc: 3.783 3.783 8.318
angles: 90.00 90.00 90.00
Fractional coordinates of all 6 atoms:
Np 0.500 0.000 0.229
Np 0.000 0.500 0.771
Cu 0.500 0.000 0.569
Cu 0.000 0.500 0.431
Ru 0.500 0.500 0.000
Ru 0.000 0.000 0.000

=====

Material: AcTm2Pt
Method: DFT, GGA-PBE
State: optimized geometry

Values from the calculation:
**E_form**: -0.58 eV per atom
**Space-group type**: R-3m
**Polymorph energy (0 for the lowest one)**: 38.7 meV/atom
**Total moment**: 0.0000 μB/atom

abc: 4.029 4.029 9.595
angles: 77.88 77.88 60.00
Fractional coordinates of all 4 atoms:
Ac 0.500 0.500 0.500
Tm 0.280 0.280 0.161
Tm 0.720 0.720 0.839
Pt 0.000 0.000 0.000

=====

Material: ThNpB4
Method: DFT, GGA-PBE
State: optimized geometry

Values from the calculation:
**E_form**: -0.29 eV per atom
**Space-group type**: Pbam
**Total moment**: 0.1450 μB/atom

abc: 4.101 6.112 11.894
angles: 90.00 90.00 90.00
Fractional coordinates of all 24 atoms:
Th 0.000 0.620 0.344
Th 0.000 0.380 0.656
Th 0.000 0.120 0.156
Th 0.000 0.880 0.844
Np 0.000 0.619 0.076
Np 0.000 0.381 0.924
Np 0.000 0.119 0.424
Np 0.000 0.881 0.576
B 0.500 0.791 0.186
B 0.500 0.209 0.814
B 0.500 0.291 0.314
B 0.500 0.709 0.686
B 0.500 0.869 0.031
B 0.500 0.131 0.969
B 0.500 0.369 0.469
B 0.500 0.631 0.531
B 0.500 0.878 0.449
B 0.500 0.122 0.551
B 0.500 0.378 0.051
B 0.500 0.622 0.949
B 0.500 0.977 0.307
B 0.500 0.023 0.693
B 0.500 0.477 0.193
B 0.500 0.523 0.807

=====

Material: GdHoPaSn
Method: DFT, GGA-PBE
State: optimized geometry

Values from the calculation:
**E_form**: 0.01 eV per atom
**Space-group type**: F-43m
**Total moment**: 2.2394 μB/atom

abc: 5.340 5.340 5.340
angles: 60.00 60.00 60.00
Fractional coordinates of all 4 atoms:
Gd 0.500 0.500 0.500
Pa 0.750 0.750 0.750
Ho 0.000 0.000 0.000
Sn 0.250 0.250 0.250